CdCuW2 (GGA-PBE, relaxed); E_form = 0.30 eV per atom; uncorrected energy = -7.4311 eV per atom; V = 65 Å³/cell
1.0
1.623 -2.209 0.000
1.623 2.209 0.000
0.000 0.000 9.050
Cd Cu W
1 1 2
direct
0.000 0.000 0.000 Cd
0.500 0.500 0.752 Cu
0.000 0.000 0.524 W
0.500 0.500 0.278 W